! Sr5Li2Br12 | Alexandria via LeMat-Bulk | PBE-GGA | relaxed; values from VASP
! ΔE_f (raw): -1.94 eV per atom
! Mass density: 3.4 Mg/m³
! D(E_F): 0.000 states/eV per atom
! E: -3.6430 eV/atom
&SYSTEM
  ibrav = 0, nat = 19, ntyp = 3
/
ATOMIC_SPECIES
Sr 87.62 Sr.upf
Li 6.94 Li.upf
Br 79.90 Br.upf
ATOMIC_POSITIONS angstrom
Sr 0.000 4.247 5.174
Sr 0.000 4.118 -1.111
Sr 0.000 -0.199 5.479
Sr 4.251 3.001 9.169
Sr 4.251 2.871 2.885
Li 5.883 0.000 0.000
Li 2.619 0.000 0.000
Br 4.251 6.001 -0.228
Br -2.051 4.568 7.660
Br 2.051 4.568 7.660
Br -2.181 5.212 3.227
Br 2.181 5.212 3.227
Br 4.251 -0.118 8.943
Br 0.000 7.237 -0.885
Br 6.432 1.907 4.832
Br 2.070 1.907 4.832
Br 6.302 2.551 0.399
Br 2.200 2.551 0.399
Br 0.000 1.117 8.287
CELL_PARAMETERS angstrom
8.502 0.000 0.000
-4.251 7.517 -2.899
0.000 -0.398 10.958